Compound: Rb2NbH
Source: the Alexandria database
Functional: PBEsol
Structure: optimized geometry

Structure (extended XYZ):
```
4
Lattice="-3.5247 -1.5341 4.3643 -5.1500 -2.4477 -1.1446 -0.8752 -5.6249 1.1911" Properties=species:S:1:pos:R:3 pbc="T T T"
H 0.0000 0.0000 0.0000
Rb -2.3875 -2.4017 1.1027
Rb -7.1624 -7.2051 3.3081
Nb -4.7750 -4.8034 2.2054
```

Results
- energy (eV per atom) = -2.50

***

Compound: Nb2ReH2
Source: the Alexandria database
Functional: PBEsol
Structure: optimized geometry

Structure (extended XYZ):
```
5
Lattice="3.0993 0.0000 0.0000 0.0000 3.0993 0.0000 -1.5496 -1.5496 5.8487" Properties=species:S:1:pos:R:3 pbc="T T T"
Re 0.0000 0.0000 0.0000
H 0.0000 1.5496 2.9244
H 1.5496 0.0000 2.9244
Nb 0.0000 0.0000 4.2145
Nb 1.5496 1.5496 1.6342
```

Results
- energy (eV per atom) = -8.54

***

Compound: NbZnHRh2
Source: the Alexandria database
Functional: PBEsol
Structure: optimized geometry

Structure (extended XYZ):
```
5
Lattice="-0.0753 -2.7351 1.7927 4.3783 -1.1059 -1.5033 1.8631 2.3648 3.6863" Properties=species:S:1:pos:R:3 pbc="T T T"
H -0.0377 -1.3676 0.8963
Nb 0.0000 0.0000 0.0000
Rh 2.1891 -0.5529 -0.7517
Rh 0.9315 1.1824 1.8432
Zn 3.0830 -0.7381 1.9878
```

Results
- energy (eV per atom) = -5.83